VASP calculation (PBE-GGA) on a geometry-optimized KRb2AcF8 structure. Values from VASP.

```
&SYSTEM
  ibrav = 0, nat = 12, ntyp = 4
/
ATOMIC_SPECIES
Ac 227.00 Ac.upf
F 19.00 F.upf
Rb 85.47 Rb.upf
K 39.10 K.upf
CELL_PARAMETERS angstrom
6.756 0.000 0.000
0.000 6.756 0.000
-3.378 -3.378 5.528
ATOMIC_POSITIONS crystal
Ac 0.250 0.750 0.500
F 0.146 0.636 0.734
F 0.364 0.412 0.266
F 0.146 0.098 0.734
F 0.902 0.412 0.266
Rb 0.000 0.000 0.000
Rb 0.750 0.250 0.500
F 0.588 0.098 0.734
F 0.588 0.636 0.734
K 0.500 0.500 0.000
F 0.364 0.854 0.266
F 0.902 0.854 0.266
```

Output
Energy relative to the elements, uncorrected ... -2.76 eV/atom